Below is crystalline Os2PtRh at its relaxed geometry, with properties calculated at the PBE-GGA level.

Unit cell a=3.841 b=3.841 c=3.946 alpha=90.00 beta=90.00 gamma=90.00
Atoms (fractional coordinates):
Pt: 0.500 0.500 0.500
Os: 0.000 0.500 0.000
Os: 0.500 0.000 0.000
Rh: 0.000 0.000 0.500

Calculated values
Distance to the lowest polymorph of the same formula ... 157 meV per atom
Raw total energy ... -8.785 eV per atom
E_form ... 178 meV/atom
Space group ... P4/mmm (123)